Entry from the Alexandria database: crystalline LiSc2Zn at its relaxed geometry (PBE).

Mass density, Mg/m³: 3.11
Total DFT energy (no corrections), eV/atom: -3.943
Fermi-level density of states, states/eV/f.u.: 3.5
DFT formation energy, eV/atom: 0.02

a = 3.2406 Å, b = 3.2406 Å, c = 28.6199 Å
α = 90.00°, β = 90.00°, γ = 120.00°
Closest atoms and distances in Å follow each position.
Space group R3m (No. 160, hexagonal axes)
Inequivalent atoms, fractional coordinates:
Li 0.0000 0.0000 0.0000 [3 per cell]  6 Sc 3.20-3.21, 6 Li 3.24
Sc 0.0000 0.0000 0.2428 [3 per cell]  3 Zn 2.86, 3 Li 3.20
Sc 0.0000 0.0000 0.4244 [3 per cell]  3 Zn 2.87, 3 Li 3.21
Zn 0.0000 0.0000 0.8337 [3 per cell]  6 Sc 2.86-2.87